Compound: SbRh2O
Source: Alexandria via LeMat-Bulk
Functional: PBE-GGA
Structure: relaxed

## Properties
- total energy (eV/atom) = -5.964
- raw formation energy (meV/atom) = -18

a b c (Å): 4.331 4.331 4.331
angles (deg): 60.00 60.00 60.00
Sites, in units of the cell vectors:
Sb1 0.000 0.000 0.000
Rh1 0.250 0.250 0.250
Rh2 0.750 0.750 0.750
O1 0.500 0.500 0.500